(1)
A plane-wave DFT calculation with PBE was carried out for PmCu4Pt6 after structural relaxation.

The structure in POSCAR format:
```
PmCu4Pt6
1.0
-5.4923 0.6267 -3.4278
3.0771 -5.6933 0.6530
0.1080 0.2584 6.4984
Pm Pt Cu
1 6 4
direct
0.0000 0.0000 0.0000
0.5000 0.0000 0.5000
0.5489 0.0895 0.0895
0.5000 0.5000 0.0000
0.0000 0.4594 0.9105
0.0000 0.9105 0.4594
0.4511 0.5406 0.5406
0.0000 0.5596 0.2640
0.0000 0.2640 0.5596
0.7044 0.4404 0.4404
0.2956 0.7360 0.7360
```

## Properties
The formation enthalpy at 0 K comes out at -0.124 eV/atom. Its total magnetization is 0.000 μB per atom. Its space-group type is I-42m (121). As for the electronic total energy: -5.341 eV/atom.

(2)
A plane-wave DFT calculation with PBE was carried out for Cs3LiCu2Cl6 after structural relaxation.

The structure in POSCAR format:
```
Cs3LiCu2Cl6
1.0
-0.4912 -3.3673 6.6467
6.6984 1.4838 -2.9477
0.0117 7.8994 4.0028
Cs Cl Li Cu
3 6 1 2
direct
0.0000 0.0000 0.0000
0.6667 0.3333 0.3285
0.3333 0.6667 0.6715
0.1612 0.8388 0.3083
0.3223 0.1612 0.6917
0.8388 0.1612 0.6917
0.1612 0.3223 0.3083
0.8388 0.6777 0.6917
0.6777 0.8388 0.3083
0.0000 0.0000 0.5000
0.3333 0.6667 0.2955
0.6667 0.3333 0.7045
```

## Properties
Its total magnetization is 0.009 μB per atom. Its space-group type is P-3m1 (164). As for the electronic total energy: -3.375 eV/atom.

(3)
A plane-wave DFT calculation with PBE was carried out for YPuNiIr after structural relaxation.

The structure in POSCAR format:
```
YPuNiIr
1.0
4.8272 0.0000 0.0000
2.4136 4.1805 0.0000
2.4136 1.3935 3.9414
Pu Ir Ni Y
1 1 1 1
direct
0.7500 0.7500 0.7500
0.5000 0.5000 0.5000
0.0000 0.0000 0.0000
0.2500 0.2500 0.2500
```

## Properties
The formation enthalpy at 0 K comes out at -0.407 eV/atom. Its total magnetization is 1.339 μB per atom. Its space-group type is F-43m (216). As for the electronic total energy: -9.266 eV/atom.

(4)
A plane-wave DFT calculation with PBE was carried out for La6AsS2I3 after structural relaxation.

The structure in POSCAR format:
```
La6AsS2I3
1.0
-1.2835 -6.9000 -2.3254
0.9377 1.3671 7.2053
-7.5815 3.0190 -0.8518
La I S As
6 3 2 1
direct
0.7215 0.7215 0.1944
0.9342 0.5916 0.8035
0.0658 0.4084 0.1965
0.5916 0.9342 0.8035
0.4084 0.0658 0.1965
0.2785 0.2785 0.8056
0.8375 0.1625 0.5000
0.1625 0.8375 0.5000
0.5000 0.5000 0.5000
0.6674 0.3326 0.0000
0.3326 0.6674 0.0000
0.0000 0.0000 0.0000
```

## Properties
Its total magnetization is 0.000 μB per atom. Its space-group type is C2/m (12). As for the electronic total energy: -5.466 eV/atom.

(5)
A plane-wave DFT calculation with PBE was carried out for CaBSb3 after structural relaxation.

The structure in POSCAR format:
```
CaBSb3
1.0
4.9916 0.0000 0.0000
0.0000 4.9916 0.0000
0.0000 0.0000 4.9916
Sb B Ca
3 1 1
direct
0.5000 0.0000 0.0000
0.0000 0.5000 0.0000
0.0000 0.0000 0.5000
0.0000 0.0000 0.0000
0.5000 0.5000 0.5000
```

## Properties
Its total magnetization is 0.000 μB per atom. Its space-group type is Pm-3m (221). As for the electronic total energy: -3.906 eV/atom. As for the distance to the lowest polymorph of the same formula: 0 meV/atom.

(6)
A plane-wave DFT calculation with PBE was carried out for BeBN2 after structural relaxation.

The structure in POSCAR format:
```
BeBN2
1.0
0.0000 2.3576 2.3576
2.3576 0.0000 2.3576
2.3576 2.3576 0.0000
Be B N
1 1 2
direct
0.0000 0.0000 0.0000
0.5000 0.5000 0.5000
0.7500 0.7500 0.7500
0.2500 0.2500 0.2500
```

## Properties
Its total magnetization is 0.000 μB per atom. Its space-group type is Fm-3m (225). As for the electronic total energy: -5.080 eV/atom. As for the distance to the lowest polymorph of the same formula: 2347 meV/atom.

(7)
A plane-wave DFT calculation with PBE was carried out for H2PtAu after structural relaxation.

The structure in POSCAR format:
```
H2PtAu
1.0
2.6689 0.0000 -1.1489
-0.4491 2.6702 -1.0433
0.7645 0.6312 5.4502
Au Pt H
1 1 2
direct
0.5617 0.3973 0.1234
0.8120 0.1789 0.6240
0.9057 0.7689 0.8114
0.2206 0.1549 0.4412
```

## Properties
Its total magnetization is 0.000 μB per atom. Its space-group type is Cm (8). As for the electronic total energy: -3.878 eV/atom. As for the distance to the lowest polymorph of the same formula: 0 meV/atom.

(8)
A plane-wave DFT calculation with PBE was carried out for CaNb2H after structural relaxation.

The structure in POSCAR format:
```
CaNb2H
1.0
7.0300 0.0000 0.0085
0.0000 11.3103 0.0000
-3.5245 0.0000 3.7336
Ca Nb H
4 8 4
direct
0.5000 0.2500 0.7500
0.0000 0.7500 0.2500
0.5000 0.7500 0.2500
0.0000 0.2500 0.7500
0.9789 0.0474 0.2152
0.5211 0.0474 0.2848
0.4789 0.9526 0.7152
0.0211 0.4526 0.2848
0.9789 0.5474 0.7152
0.0211 0.9526 0.7848
0.4789 0.4526 0.2152
0.5211 0.5474 0.7848
0.2500 0.0498 0.7500
0.7500 0.4502 0.7500
0.7500 0.9502 0.2500
0.2500 0.5498 0.2500
```

## Properties
Its total magnetization is 0.000 μB per atom. Its space-group type is C2/c (15). As for the electronic total energy: -6.230 eV/atom. As for the distance to the lowest polymorph of the same formula: 79 meV/atom.

(9)
A plane-wave DFT calculation with PBE was carried out for Sc2MnCl after structural relaxation.

The structure in POSCAR format:
```
Sc2MnCl
1.0
-2.7705 -1.4353 -0.3190
0.5571 -1.6860 2.7481
-3.3017 5.4735 4.0472
Sc Mn Cl
2 1 1
direct
0.0000 0.2510 0.5438
0.0000 0.2490 0.9562
0.5000 0.7500 0.7500
0.5000 0.2500 0.2500
```

## Properties
Its total magnetization is 0.250 μB per atom. Its space-group type is P2/m (10). As for the electronic total energy: -6.513 eV/atom. As for the distance to the lowest polymorph of the same formula: 0 meV/atom.

(10)
A plane-wave DFT calculation with PBE was carried out for LaTmGa4 after structural relaxation.

The structure in POSCAR format:
```
LaTmGa4
1.0
-3.2750 1.4077 -2.3153
-1.9236 -3.7659 0.4313
-0.7310 3.5873 7.1169
Ga La Tm
4 1 1
direct
0.6648 0.1648 0.3295
0.5813 0.5813 0.1626
0.4187 0.4187 0.8374
0.8352 0.3352 0.6705
0.2500 0.7500 0.5000
0.0000 0.0000 0.0000
```

## Properties
The formation enthalpy at 0 K comes out at -0.627 eV/atom. Its total magnetization is 0.000 μB per atom. Its space-group type is I-4m2 (119). As for the electronic total energy: -4.212 eV/atom. As for the distance to the lowest polymorph of the same formula: 20 meV/atom.

(11)
A plane-wave DFT calculation with PBE was carried out for KSrClO after structural relaxation.

The structure in POSCAR format:
```
KSrClO
1.0
-0.2948 -1.9896 -3.3575
-1.3786 -3.6630 0.0105
-7.1687 0.6013 -2.0081
K Cl O Sr
1 1 1 1
direct
0.5125 0.5125 0.4624
0.7439 0.7439 0.7684
0.2647 0.2647 0.2059
0.9789 0.9789 0.0633
```

## Properties
Its total magnetization is 0.022 μB per atom. Its space-group type is R3m (160). As for the electronic total energy: -4.590 eV/atom.

(12)
A plane-wave DFT calculation with PBE was carried out for CuHgPdPt after structural relaxation.

The structure in POSCAR format:
```
CuHgPdPt
1.0
4.4996 0.0000 0.0000
2.2498 3.8968 0.0000
2.2498 1.2989 3.6739
Cu Pt Pd Hg
1 1 1 1
direct
0.5000 0.5000 0.5000
0.7500 0.7500 0.7500
0.2500 0.2500 0.2500
0.0000 0.0000 0.0000
```

## Properties
The formation enthalpy at 0 K comes out at -0.053 eV/atom. Its total magnetization is 0.000 μB per atom. Its space-group type is F-43m (216). As for the electronic total energy: -3.961 eV/atom.

Question: The highest electronic total energy belongs to which entry?
Answer: Cs3LiCu2Cl6

Question: Among the records above, which one has the lowest electronic total energy?
Answer: YPuNiIr

Question: What is the electronic total energy in the ninth record?
Answer: -6.513 eV/atom

Question: Among the records above, which one has the lowest electronic total energy?
Answer: YPuNiIr